<one>
Density functional theory data (PBE-GGA) for crystalline Nb2HRhW at its relaxed geometry.

D(E_F) (states/eV/cell): 4.3
ρ (g/cm3): 11.34

The structure in CIF format:
```
data_Nb2HRhW
_chemical_formula_sum 'Nb2 H1 Rh1 W1'
_cell_length_a 4.2877
_cell_length_b 4.2877
_cell_length_c 3.7737
_cell_angle_alpha 90.00
_cell_angle_beta 90.00
_cell_angle_gamma 90.00
_symmetry_space_group_name_H-M 'P 1'
_symmetry_Int_Tables_number 1
_symmetry_space_group_name_Hall 'P 1'
loop_
_atom_site_label
_atom_site_fract_x
_atom_site_fract_y
_atom_site_fract_z
_atom_site_occupancy
Nb1 0.0000 0.5000 0.0000 1
Nb2 0.5000 0.0000 0.0000 1
H1 0.0000 0.0000 0.0000 1
Rh1 0.5000 0.5000 0.5000 1
W1 0.0000 0.0000 0.5000 1
```

***

<two>
Density functional theory data (PBE-GGA) for crystalline Nb2HRhW at its relaxed geometry.

D(E_F) (states/eV/cell): 2.7
ρ (g/cm3): 11.34

The structure in CIF format:
```
data_Nb2HRhW
_chemical_formula_sum 'Nb2 H1 Rh1 W1'
_cell_length_a 4.4411
_cell_length_b 4.4411
_cell_length_c 3.5148
_cell_angle_alpha 90.00
_cell_angle_beta 90.00
_cell_angle_gamma 90.00
_symmetry_space_group_name_H-M 'P 1'
_symmetry_Int_Tables_number 1
_symmetry_space_group_name_Hall 'P 1'
loop_
_atom_site_label
_atom_site_fract_x
_atom_site_fract_y
_atom_site_fract_z
_atom_site_occupancy
Nb1 0.0000 0.5000 0.0000 1
Nb2 0.5000 0.0000 0.0000 1
H1 0.0000 0.0000 0.0000 1
Rh1 0.0000 0.0000 0.5000 1
W1 0.5000 0.5000 0.5000 1
```

***

What is the stability order? It is <two>, <one>, from most stable to least stable.